<P>
## ErHgSb (GGA-PBE)

Data for ErHgSb after structural relaxation.

As for the spin magnetization: 0.00 μB per formula unit. The volume is 79.6 Å³/f.u.

abc: 3.471 6.088 7.974
angles: 109.03 90.10 90.00
Space group P-1 (No. 2)
One atom of each set of equivalent atoms:
1 Er 0.001 0.111 0.287 (multiplicity 2)
2 Hg 0.496 0.676 0.382 (multiplicity 2)
3 Sb 0.500 0.260 0.009 (multiplicity 2)

=====

<Q>
## ErHgSb (GGA-PBE)

Data for ErHgSb after structural relaxation.

As for the spin magnetization: 0.00 μB per formula unit. The volume is 80.3 Å³/f.u.

abc: 4.168 4.168 9.251
angles: 90.00 90.00 90.00
Space group I4mm (No. 107)
One atom of each set of equivalent atoms:
1 Er 0.000 0.000 0.000 (multiplicity 2)
2 Hg 0.000 0.000 0.323 (multiplicity 2)
3 Sb 0.000 0.000 0.647 (multiplicity 2)

=====

Calculated relative energies: <P> 30; <Q> 0, given in meV per atom

=====

<P>
## Er2ScHg6 (GGA-PBE)

Data for Er2ScHg6 after structural relaxation.

As for the spin magnetization: 0.22 μB per formula unit. The volume is 209.9 Å³/f.u.

abc: 14.748 8.535 3.335
angles: 90.00 90.29 90.00
Space group C2/m (No. 12)
One atom of each set of equivalent atoms:
1 Er 0.167 0.000 0.000 (multiplicity 4)
2 Sc 0.000 0.500 0.000 (multiplicity 2)
3 Hg 0.000 0.168 0.500 (multiplicity 4)
4 Hg 0.166 0.334 0.498 (multiplicity 8)

=====

<Q>
## Er2ScHg6 (GGA-PBE)

Data for Er2ScHg6 after structural relaxation.

As for the spin magnetization: 0.00 μB per formula unit. The volume is 214.2 Å³/f.u.

abc: 14.147 11.509 5.344
angles: 90.00 100.07 90.00
Space group C2/c (No. 15)
One atom of each set of equivalent atoms:
1 Er 0.167 0.126 0.082 (multiplicity 8)
2 Sc 0.000 0.376 0.250 (multiplicity 4)
3 Hg 0.056 0.128 0.527 (multiplicity 8)
4 Hg 0.108 0.377 0.805 (multiplicity 8)
5 Hg 0.218 0.375 0.362 (multiplicity 8)

=====

Calculated relative energies: <P> 25; <Q> 0, given in meV per atom

=====

<P>
## ErScHg6 (GGA-PBE)

Data for ErScHg6 after structural relaxation.

As for the spin magnetization: 0.00 μB per formula unit. The volume is 215.1 Å³/f.u.

abc: 8.2530 8.2530 10.9371
angles: 90.00 90.00 120.00
Space group R-3m (No. 166, hexagonal axes)
One atom of each set of equivalent atoms:
1 Er 0.0000 0.0000 0.0000 (multiplicity 3)
2 Sc 0.0000 0.0000 0.5000 (multiplicity 3)
3 Hg 0.0869 0.5434 0.3810 (multiplicity 18)

=====

<Q>
## ErScHg6 (GGA-PBE)

Data for ErScHg6 after structural relaxation.

As for the spin magnetization: 0.00 μB per formula unit. The volume is 186.5 Å³/f.u.

abc: 4.440 4.440 9.460
angles: 90.00 90.00 90.00
Space group P4/mmm (No. 123)
One atom of each set of equivalent atoms:
1 Er 0.000 0.000 0.000 (multiplicity 1)
2 Sc 0.000 0.000 0.500 (multiplicity 1)
3 Hg 0.000 0.500 0.255 (multiplicity 4)
4 Hg 0.500 0.500 0.000 (multiplicity 1)
5 Hg 0.500 0.500 0.500 (multiplicity 1)

=====

Calculated relative energies: <P> 183; <Q> 0, given in meV per atom

=====

<P>
## Er2ScHg4 (GGA-PBE)

Data for Er2ScHg4 after structural relaxation.

As for the spin magnetization: 0.00 μB per formula unit. The volume is 182.4 Å³/f.u.

abc: 4.9669 4.9669 25.6140
angles: 90.00 90.00 120.00
Space group R-3m (No. 166, hexagonal axes)
One atom of each set of equivalent atoms:
1 Er 0.0000 0.0000 0.2464 (multiplicity 6)
2 Sc 0.0000 0.0000 0.0000 (multiplicity 3)
3 Hg 0.0000 0.0000 0.1272 (multiplicity 6)
4 Hg 0.0000 0.0000 0.3716 (multiplicity 6)

=====

<Q>
## Er2ScHg4 (GGA-PBE)

Data for Er2ScHg4 after structural relaxation.

As for the spin magnetization: 0.00 μB per formula unit. The volume is 218.8 Å³/f.u.

abc: 5.397 5.397 15.025
angles: 90.00 90.00 90.00
Space group I4/mmm (No. 139)
One atom of each set of equivalent atoms:
1 Er 0.000 0.000 0.106 (multiplicity 4)
2 Sc 0.000 0.000 0.500 (multiplicity 2)
3 Hg 0.000 0.000 0.307 (multiplicity 4)
4 Hg 0.000 0.500 0.000 (multiplicity 4)

=====

Calculated relative energies: <P> 0; <Q> 343, given in meV per atom

=====

<P>
## ErScHg (GGA-PBE)

Data for ErScHg after structural relaxation.

As for the spin magnetization: 0.00 μB per formula unit. The volume is 74.3 Å³/f.u.

abc: 6.537 5.057 8.996
angles: 90.00 90.00 90.00
Space group Pnma (No. 62)
One atom of each set of equivalent atoms:
1 Er 0.185 0.250 0.077 (multiplicity 4)
2 Sc 0.014 0.250 0.706 (multiplicity 4)
3 Hg 0.222 0.250 0.405 (multiplicity 4)

=====

<Q>
## ErScHg (GGA-PBE)

Data for ErScHg after structural relaxation.

As for the spin magnetization: 1.14 μB per formula unit. The volume is 75.0 Å³/f.u.

abc: 3.447 3.447 12.625
angles: 90.00 90.00 90.00
Space group I4mm (No. 107)
One atom of each set of equivalent atoms:
1 Er 0.000 0.000 0.000 (multiplicity 2)
2 Sc 0.000 0.000 0.314 (multiplicity 2)
3 Hg 0.000 0.000 0.668 (multiplicity 2)

=====

<R>
## ErScHg (GGA-PBE)

Data for ErScHg after structural relaxation.

As for the spin magnetization: 0.04 μB per formula unit. The volume is 76.1 Å³/f.u.

abc: 7.5190 7.5190 4.6607
angles: 90.00 90.00 120.00
Space group P-62m (No. 189)
One atom of each set of equivalent atoms:
1 Er 0.0000 0.5871 0.0000 (multiplicity 3)
2 Sc 0.0000 0.2530 0.5000 (multiplicity 3)
3 Hg 0.0000 0.0000 0.0000 (multiplicity 1)
4 Hg 0.3333 0.6667 0.5000 (multiplicity 2)

=====

Calculated relative energies: <P> 0; <Q> 71; <R> 48, given in meV per atom

=====

<P>
## ErScZnHg (GGA-PBE)

Data for ErScZnHg after structural relaxation.

As for the spin magnetization: 0.00 μB per formula unit. The volume is 88.6 Å³/f.u.

abc: 7.076 7.076 7.076
angles: 90.00 90.00 90.00
Space group F-43m (No. 216)
One atom of each set of equivalent atoms:
1 Er 0.000 0.000 0.000 (multiplicity 4)
2 Sc 0.000 0.000 0.500 (multiplicity 4)
3 Zn 0.250 0.250 0.250 (multiplicity 4)
4 Hg 0.250 0.250 0.750 (multiplicity 4)

=====

<Q>
## ErScZnHg (GGA-PBE)

Data for ErScZnHg after structural relaxation.

As for the spin magnetization: 0.00 μB per formula unit. The volume is 87.4 Å³/f.u.

abc: 3.490 3.490 7.176
angles: 90.00 90.00 90.00
Space group P4mm (No. 99)
One atom of each set of equivalent atoms:
1 Er 0.000 0.000 0.000 (multiplicity 1)
2 Sc 0.000 0.000 0.534 (multiplicity 1)
3 Zn 0.500 0.500 0.748 (multiplicity 1)
4 Hg 0.500 0.500 0.284 (multiplicity 1)

=====

Calculated relative energies: <P> 19; <Q> 0, given in meV per atom

=====

<P>
## Er4HgSe2 (GGA-PBE)

Data for Er4HgSe2 after structural relaxation.

As for the spin magnetization: 0.67 μB per formula unit. The volume is 183.5 Å³/f.u.

abc: 3.8654 3.8654 42.5508
angles: 90.00 90.00 120.00
Space group R-3m (No. 166, hexagonal axes)
One atom of each set of equivalent atoms:
1 Er 0.0000 0.0000 0.1342 (multiplicity 6)
2 Er 0.0000 0.0000 0.2839 (multiplicity 6)
3 Hg 0.0000 0.0000 0.0000 (multiplicity 3)
4 Se 0.0000 0.0000 0.4245 (multiplicity 6)

=====

<Q>
## Er4HgSe2 (GGA-PBE)

Data for Er4HgSe2 after structural relaxation.

As for the spin magnetization: 0.00 μB per formula unit. The volume is 181.9 Å³/f.u.

abc: 4.035 13.022 13.847
angles: 90.00 90.00 90.00
Space group Cmcm (No. 63)
One atom of each set of equivalent atoms:
1 Er 0.000 0.000 0.000 (multiplicity 4)
2 Er 0.000 0.274 0.125 (multiplicity 8)
3 Er 0.000 0.436 0.750 (multiplicity 4)
4 Hg 0.000 0.109 0.750 (multiplicity 4)
5 Se 0.000 0.362 0.559 (multiplicity 8)

=====

Calculated relative energies: <P> 42; <Q> 0, given in meV per atom

=====

<P>
## ErSiHg (GGA-PBE)

Data for ErSiHg after structural relaxation.

As for the spin magnetization: 0.00 μB per formula unit. The volume is 64.9 Å³/f.u.

abc: 4.153 16.276 3.838
angles: 90.00 90.00 90.00
Space group Cmcm (No. 63)
One atom of each set of equivalent atoms:
1 Er 0.000 0.093 0.250 (multiplicity 4)
2 Si 0.000 0.456 0.250 (multiplicity 4)
3 Hg 0.000 0.288 0.250 (multiplicity 4)

=====

<Q>
## ErSiHg (GGA-PBE)

Data for ErSiHg after structural relaxation.

As for the spin magnetization: 0.00 μB per formula unit. The volume is 66.0 Å³/f.u.

abc: 4.3166 4.3166 4.0891
angles: 90.00 90.00 120.00
Space group P3m1 (No. 156)
One atom of each set of equivalent atoms:
1 Er 0.0000 0.0000 0.0000 (multiplicity 1)
2 Si 0.6667 0.3333 0.5947 (multiplicity 1)
3 Hg 0.3333 0.6667 0.4382 (multiplicity 1)

=====

Calculated relative energies: <P> 0; <Q> 140, given in meV per atom

=====

<P>
## SmEr3Hg2 (GGA-PBE)

Data for SmEr3Hg2 after structural relaxation.

As for the spin magnetization: 0.00 μB per formula unit. The volume is 189.8 Å³/f.u.

abc: 7.034 14.424 7.483
angles: 90.00 90.00 90.00
Space group Ibam (No. 72)
One atom of each set of equivalent atoms:
1 Sm 0.000 0.000 0.000 (multiplicity 4)
2 Er 0.000 0.227 0.250 (multiplicity 8)
3 Er 0.000 0.500 0.250 (multiplicity 4)
4 Hg 0.193 0.358 0.000 (multiplicity 8)

=====

<Q>
## SmEr3Hg2 (GGA-PBE)

Data for SmEr3Hg2 after structural relaxation.

As for the spin magnetization: 0.00 μB per formula unit. The volume is 166.3 Å³/f.u.

abc: 5.074 9.213 7.115
angles: 90.00 90.00 90.00
Space group Pmc2_1 (No. 26)
One atom of each set of equivalent atoms:
1 Sm 0.000 0.057 0.000 (multiplicity 2)
2 Er 0.000 0.328 0.652 (multiplicity 2)
3 Er 0.500 0.179 0.317 (multiplicity 2)
4 Er 0.500 0.443 0.968 (multiplicity 2)
5 Hg 0.000 0.354 0.226 (multiplicity 2)
6 Hg 0.500 0.150 0.742 (multiplicity 2)

=====

Calculated relative energies: <P> 258; <Q> 0, given in meV per atom

=====

<P>
## SmErHg (GGA-PBE)

Data for SmErHg after structural relaxation.

As for the spin magnetization: 0.00 μB per formula unit. The volume is 95.5 Å³/f.u.

abc: 7.256 7.256 7.256
angles: 90.00 90.00 90.00
Space group F-43m (No. 216)
One atom of each set of equivalent atoms:
1 Sm 0.000 0.000 0.000 (multiplicity 4)
2 Er 0.000 0.000 0.500 (multiplicity 4)
3 Hg 0.250 0.250 0.750 (multiplicity 4)

=====

<Q>
## SmErHg (GGA-PBE)

Data for SmErHg after structural relaxation.

As for the spin magnetization: 0.00 μB per formula unit. The volume is 86.8 Å³/f.u.

abc: 5.1365 5.1365 3.7973
angles: 90.00 90.00 120.00
Space group P3m1 (No. 156)
One atom of each set of equivalent atoms:
1 Sm 0.0000 0.0000 0.0000 (multiplicity 1)
2 Er 0.3333 0.6667 0.5298 (multiplicity 1)
3 Hg 0.6667 0.3333 0.3778 (multiplicity 1)

=====

Calculated relative energies: <P> 85; <Q> 0, given in meV per atom

=====

<P>
## SmErHg (GGA-PBE)

Data for SmErHg after structural relaxation.

As for the spin magnetization: 0.00 μB per formula unit. The volume is 85.4 Å³/f.u.

abc: 7.264 5.081 9.258
angles: 90.00 90.00 90.00
Space group Pnma (No. 62)
One atom of each set of equivalent atoms:
1 Sm 0.016 0.250 0.190 (multiplicity 4)
2 Er 0.163 0.250 0.574 (multiplicity 4)
3 Hg 0.247 0.250 0.896 (multiplicity 4)

=====

<Q>
## SmErHg (GGA-PBE)

Data for SmErHg after structural relaxation.

As for the spin magnetization: 0.82 μB per formula unit. The volume is 85.2 Å³/f.u.

abc: 3.637 3.637 12.882
angles: 90.00 90.00 90.00
Space group I4mm (No. 107)
One atom of each set of equivalent atoms:
1 Sm 0.000 0.000 0.000 (multiplicity 2)
2 Er 0.000 0.000 0.308 (multiplicity 2)
3 Hg 0.000 0.000 0.665 (multiplicity 2)

=====

<R>
## SmErHg (GGA-PBE)

Data for SmErHg after structural relaxation.

As for the spin magnetization: 0.00 μB per formula unit. The volume is 87.9 Å³/f.u.

abc: 8.989 5.198 8.098
angles: 90.00 111.70 90.00
Space group Cm (No. 8)
One atom of each set of equivalent atoms:
1 Sm 0.000 0.000 0.000 (multiplicity 2)
2 Sm 0.164 0.000 0.495 (multiplicity 2)
3 Er 0.084 0.500 0.753 (multiplicity 2)
4 Er 0.421 0.000 0.263 (multiplicity 2)
5 Hg 0.225 0.500 0.174 (multiplicity 2)
6 Hg 0.361 0.500 0.586 (multiplicity 2)

=====

Calculated relative energies: <P> 0; <Q> 49; <R> 157, given in meV per atom